VASP calculation (GGA-PBE) on Th4TeAs2P after structural relaxation.

Geometry as POSCAR:
```
Th4TeAs2P
1.0
7.386 0.000 0.000
0.000 4.261 0.000
-2.463 0.000 7.060
Th Te As P
4 1 2 1
Direct
0.237 0.000 0.226
0.250 0.500 0.768
0.750 0.500 0.232
0.763 0.000 0.774
0.500 0.500 0.500
0.000 0.000 0.500
0.000 0.500 0.000
0.500 0.000 0.000
```

DOS at the Fermi energy: 5.17 states/eV/cell
electronic total energy: -7.27 eV/atom
crystal system: monoclinic
volume: 27.78 A^3/atom

---

VASP calculation (GGA-PBE) on La2MgAs after structural relaxation.

Geometry as POSCAR:
```
La2MgAs
1.0
-2.470 2.470 4.507
2.470 -2.470 4.507
2.470 2.470 -4.507
La Mg As
2 1 1
Direct
0.250 0.750 0.500
0.750 0.250 0.500
0.000 0.000 0.000
0.500 0.500 0.000
```

DOS at the Fermi energy: 3.41 states/eV/cell
energy relative to the lowest polymorph listed for this composition: 154.8 meV/atom
crystal system: tetragonal
volume: 27.50 A^3/atom
formation energy from the elements: -0.544 eV per atom

---

VASP calculation (GGA-PBE) on LaTb2Dy3As6 after structural relaxation.

Geometry as POSCAR:
```
LaTb2Dy3As6
1.0
3.612 -6.255 0.000
3.612 6.255 0.000
-2.408 0.000 6.809
La Tb Dy As
1 2 3 6
Direct
0.000 0.000 0.000
0.333 0.667 0.000
0.667 0.333 0.000
0.165 0.835 0.500
0.500 0.500 0.500
0.835 0.165 0.500
0.085 0.425 0.256
0.255 0.255 0.745
0.425 0.085 0.256
0.575 0.915 0.744
0.745 0.745 0.255
0.915 0.575 0.744
```

DOS at the Fermi energy: 1.67 states/eV/cell
crystal system: monoclinic
volume: 25.64 A^3/atom
formation energy from the elements: -1.534 eV per atom

---

VASP calculation (GGA-PBE) on SrCaOs2 after structural relaxation.

Geometry as POSCAR:
```
SrCaOs2
1.0
2.934 0.000 0.000
0.000 2.934 0.000
0.000 0.000 9.425
Sr Ca Os
1 1 2
Direct
0.000 0.000 0.000
0.000 0.000 0.500
0.500 0.500 0.260
0.500 0.500 0.740
```

DOS at the Fermi energy: 6.29 states/eV/cell
energy relative to the lowest polymorph listed for this composition: 577.3 meV/atom
crystal system: tetragonal
volume: 20.29 A^3/atom
formation energy from the elements: 0.975 eV per atom

---

VASP calculation (GGA-PBE) on La2Ce3SmS6 after structural relaxation.

Geometry as POSCAR:
```
La2Ce3SmS6
1.0
8.876 -2.032 0.000
8.876 2.032 0.000
-1.892 0.000 7.930
La Ce Sm S
2 3 1 6
Direct
0.166 0.166 0.332
0.834 0.834 0.668
0.167 0.167 0.834
0.500 0.500 0.500
0.833 0.833 0.166
0.500 0.500 0.000
0.003 0.003 0.753
0.335 0.335 0.412
0.335 0.335 0.923
0.665 0.665 0.077
0.665 0.665 0.588
0.997 0.997 0.247
```

DOS at the Fermi energy: 17.76 states/eV/cell
electronic total energy: -6.84 eV/atom
crystal system: monoclinic
volume: 23.84 A^3/atom

---

VASP calculation (GGA-PBE) on TiCrAsBr2 after structural relaxation.

Geometry as POSCAR:
```
TiCrAsBr2
1.0
5.022 0.000 0.000
0.000 5.022 0.000
0.000 0.000 5.121
Ti Cr As Br
1 1 1 2
Direct
0.000 0.000 0.000
0.500 0.500 0.500
0.000 0.000 0.500
0.000 0.500 0.000
0.500 0.000 0.000
```

DOS at the Fermi energy: 4.51 states/eV/cell
energy relative to the lowest polymorph listed for this composition: 0.0 meV/atom
crystal system: tetragonal
volume: 25.83 A^3/atom

---

VASP calculation (GGA-PBE) on As3PRh after structural relaxation.

Geometry as POSCAR:
```
As3PRh
1.0
4.781 0.000 0.000
0.000 4.781 0.000
0.000 0.000 4.781
As P Rh
3 1 1
Direct
0.000 0.000 0.500
0.000 0.500 0.000
0.500 0.000 0.000
0.500 0.500 0.500
0.000 0.000 0.000
```

DOS at the Fermi energy: 5.64 states/eV/cell
energy relative to the lowest polymorph listed for this composition: 0.0 meV/atom
crystal system: cubic
volume: 21.85 A^3/atom
formation energy from the elements: 0.743 eV per atom

---

VASP calculation (GGA-PBE) on NdPuH8Rh2 after structural relaxation.

Geometry as POSCAR:
```
NdPuH8Rh2
1.0
2.316 1.337 6.323
-2.316 1.337 6.323
0.000 -2.674 6.323
Nd Pu H Rh
1 1 8 2
Direct
0.000 0.000 0.000
0.500 0.500 0.500
0.081 0.547 0.547
0.135 0.135 0.135
0.453 0.453 0.919
0.453 0.919 0.453
0.547 0.081 0.547
0.547 0.547 0.081
0.865 0.865 0.865
0.919 0.453 0.453
0.227 0.227 0.227
0.773 0.773 0.773
```

DOS at the Fermi energy: 11.76 states/eV/cell
electronic total energy: -5.30 eV/atom
crystal system: trigonal
volume: 9.79 A^3/atom

---

VASP calculation (GGA-PBE) on TiI2NO after structural relaxation.

Geometry as POSCAR:
```
TiI2NO
1.0
5.589 0.000 0.000
0.000 5.589 0.000
0.000 0.000 3.736
Ti I N O
1 2 1 1
Direct
0.000 0.000 0.000
0.000 0.500 0.000
0.500 0.000 0.000
0.000 0.000 0.500
0.500 0.500 0.500
```

DOS at the Fermi energy: 6.43 states/eV/cell
energy relative to the lowest polymorph listed for this composition: 485.9 meV/atom
crystal system: tetragonal
volume: 23.34 A^3/atom

---

VASP calculation (GGA-PBE) on RbZn3Rh after structural relaxation.

Geometry as POSCAR:
```
RbZn3Rh
1.0
4.956 0.000 0.000
0.000 4.956 0.000
0.000 0.000 4.956
Rb Zn Rh
1 3 1
Direct
0.000 0.000 0.000
0.000 0.500 0.500
0.500 0.000 0.500
0.500 0.500 0.000
0.500 0.500 0.500
```

DOS at the Fermi energy: 1.33 states/eV/cell
energy relative to the lowest polymorph listed for this composition: 0.0 meV/atom
crystal system: cubic
volume: 24.35 A^3/atom
formation energy from the elements: -0.122 eV per atom

---

VASP calculation (GGA-PBE) on Dy4In after structural relaxation.

Geometry as POSCAR:
```
Dy4In
1.0
5.717 0.000 0.000
0.000 5.717 0.000
0.000 0.000 5.717
Dy In
4 1
Direct
0.000 0.000 0.000
0.000 0.500 0.500
0.500 0.000 0.500
0.500 0.500 0.000
0.500 0.500 0.500
```

DOS at the Fermi energy: 9.25 states/eV/cell
energy relative to the lowest polymorph listed for this composition: 542.1 meV/atom
crystal system: cubic
volume: 37.37 A^3/atom
formation energy from the elements: 0.422 eV per atom